TiAlSb2Te | PBE | relaxed

Cell: 5.1711 5.1711 5.3324 Å, 90.00 90.00 90.00°
Closest atoms and distances in Å follow each position.
Space group P4/mmm (No. 123)
Symmetry-distinct sites (fractional):
Ti1 0.0000 0.0000 0.0000  4 Te 3.66, 8 Sb 3.71
Al1 0.5000 0.5000 0.5000  4 Sb 2.59, 2 Te 2.67
Sb1 0.0000 0.5000 0.5000  2 Al 2.59
Te1 0.5000 0.5000 0.0000  2 Al 2.67

Computed properties:
Uncorrected formation energy: 16.94 kcal/mol of atoms
DOS(E_F): 1.90 states/eV/atom
Offset from the most stable computed form: 2.51 eV/f.u.
ρ: 5.19 g cm⁻³